No. 1
A plane-wave DFT calculation with PBE was carried out for an optimized crystal structure of LiScFe2.

a b c (Å): 3.0692 3.0692 6.7084
angles (deg): 90.00 90.00 90.00
Closest atoms and distances in Å follow each position.
Fractional coordinates of all 4 atoms:
Li (0.0000, 0.0000, 0.0000)  5 Fe 2.69-2.72
Sc (0.5000, 0.5000, 0.3444)  5 Fe 2.75-2.81, 4 Sc 3.07
Fe (0.0000, 0.0000, 0.5951)  4 Fe 2.44, 1 Li 2.72
Fe (0.5000, 0.5000, 0.7626)  4 Fe 2.44, 4 Li 2.69

Calculated values
magnetic moment	4.43	Bohr magnetons per cell
theoretical density	4.30	g/cm3
symmetry	P4mm (99)
ΔE_f	0.156	eV/atom



No. 2
A plane-wave DFT calculation with PBE was carried out for an optimized crystal structure of ErMgZn2Pt2.

a b c (Å): 4.4111 4.4111 6.4110
angles (deg): 90.00 90.00 120.00
Closest atoms and distances in Å follow each position.
Fractional coordinates of all 6 atoms:
Er (0.0000, 0.0000, 0.0000)  6 Pt 3.09, 6 Zn 3.16, 2 Mg 3.21
Mg (0.0000, 0.0000, 0.5000)  6 Zn 2.87, 6 Pt 2.94, 2 Er 3.21
Zn (0.3333, 0.6667, 0.2922)  4 Pt 2.55-2.80
Zn (0.6667, 0.3333, 0.7078)  4 Pt 2.55-2.80
Pt (0.3333, 0.6667, 0.7284)  4 Zn 2.55-2.80
Pt (0.6667, 0.3333, 0.2716)  4 Zn 2.55-2.80

Calculated values
magnetic moment	0.00	Bohr magnetons per cell
theoretical density	10.95	g/cm3
symmetry	P-3m1 (164)
ΔE_f	-0.795	eV/atom



No. 3
A plane-wave DFT calculation with PBE was carried out for an optimized crystal structure of HfF.

a b c (Å): 3.3411 3.3411 5.3220
angles (deg): 90.00 90.00 90.00
Closest atoms and distances in Å follow each position.
Fractional coordinates of all 4 atoms:
Hf (0.2500, 0.2500, 0.1934)  4 F 2.34
Hf (0.7500, 0.7500, 0.8066)  4 F 2.34
F (0.2500, 0.7500, 0.5000)  4 Hf 2.34, 4 F 2.36
F (0.7500, 0.2500, 0.5000)  4 Hf 2.34, 4 F 2.36

Calculated values
magnetic moment	0.00	Bohr magnetons per cell
formation energy from raw total energies	-2136	meV/atom
polymorph energy (0 for the lowest one)	0	meV/atom
theoretical density	11.04	g/cm3
symmetry	P4/nmm (129)



No. 4
A plane-wave DFT calculation with PBE was carried out for an optimized crystal structure of Pm2Zn5Cu3.

a b c (Å): 12.1997 12.1997 6.7084
angles (deg): 90.00 90.00 159.14
Closest atoms and distances in Å follow each position.
Fractional coordinates of all 20 atoms:
Pm (0.0174, 0.9826, 0.5000)  5 Cu 2.87-3.11, 6 Zn 3.05-3.19
Pm (0.3253, 0.6747, 0.4619)  5 Cu 2.99-3.31, 9 Zn 3.07-3.17
Pm (0.6747, 0.3253, 0.9619)  5 Cu 2.99-3.31, 9 Zn 3.07-3.17
Pm (0.9826, 0.0174, 0.0000)  5 Cu 2.87-3.11, 6 Zn 3.05-3.19
Zn (0.1061, 0.8939, 0.1749)  3 Cu 2.54-2.62, 1 Zn 2.57
Zn (0.2030, 0.7970, 0.6385)  4 Cu 2.51-2.65, 1 Zn 2.56
Zn (0.2107, 0.7893, 0.2574)  3 Cu 2.52-2.59, 2 Zn 2.56-2.57
Zn (0.3735, 0.6265, 0.9918)  2 Cu 2.53-2.60, 1 Zn 2.74
Zn (0.4470, 0.5530, 0.3043)  4 Cu 2.56-2.67, 1 Zn 2.74
Zn (0.5530, 0.4470, 0.8043)  4 Cu 2.56-2.67, 1 Zn 2.74
Zn (0.6265, 0.3735, 0.4918)  2 Cu 2.53-2.60, 1 Zn 2.74
Zn (0.7893, 0.2107, 0.7574)  3 Cu 2.52-2.59, 2 Zn 2.56-2.57
Zn (0.7970, 0.2030, 0.1385)  4 Cu 2.51-2.65, 1 Zn 2.56
Zn (0.8939, 0.1061, 0.6749)  3 Cu 2.54-2.62, 1 Zn 2.57
Cu (0.1067, 0.8933, 0.7840)  4 Zn 2.51-2.62
Cu (0.2690, 0.7310, 0.9444)  7 Zn 2.52-2.65
Cu (0.4457, 0.5543, 0.7029)  5 Zn 2.54-2.67
Cu (0.5543, 0.4457, 0.2029)  5 Zn 2.54-2.67
Cu (0.7310, 0.2690, 0.4444)  7 Zn 2.52-2.65
Cu (0.8933, 0.1067, 0.2840)  4 Zn 2.51-2.62

Calculated values
magnetic moment	0.00	Bohr magnetons per cell
polymorph energy (0 for the lowest one)	15	meV/atom
theoretical density	7.54	g/cm3
symmetry	Cmc2_1 (36)
ΔE_f	-0.235	eV/atom



No. 5
A plane-wave DFT calculation with PBE was carried out for an optimized crystal structure of K5Rb4As3.

a b c (Å): 6.2116 9.5139 10.5420
angles (deg): 110.66 104.84 90.21
Closest atoms and distances in Å follow each position.
Fractional coordinates of all 12 atoms:
K (0.0000, 0.0000, 0.0000)  2 As 3.11
K (0.3594, 0.7435, 0.6726)  2 As 3.34-3.71, 2 Rb 3.63-3.74
K (0.4373, 0.2801, 0.8921)  2 As 3.24-3.29
K (0.5627, 0.7199, 0.1079)  2 As 3.24-3.29
K (0.6406, 0.2565, 0.3274)  2 As 3.34-3.71, 2 Rb 3.63-3.74
Rb (0.1437, 0.4762, 0.3131)  3 As 3.61-3.70, 3 K 3.63-3.82
Rb (0.1915, 0.9282, 0.3736)  1 As 3.47
Rb (0.8085, 0.0718, 0.6264)  1 As 3.47
Rb (0.8563, 0.5238, 0.6869)  3 As 3.61-3.70, 3 K 3.63-3.82
As (0.2994, 0.3098, 0.5799)  1 K 3.29, 3 Rb 3.47-3.62
As (0.5000, 0.0000, 0.0000)  6 K 3.11-3.34
As (0.7006, 0.6902, 0.4201)  1 K 3.29, 3 Rb 3.47-3.62

Calculated values
magnetic moment	0.00	Bohr magnetons per cell
theoretical density	2.26	g/cm3
symmetry	P-1 (2)
ΔE_f	-0.238	eV/atom



No. 6
A plane-wave DFT calculation with PBE was carried out for an optimized crystal structure of K2TbTiSe4.

a b c (Å): 7.0213 4.0430 8.0114
angles (deg): 90.00 106.92 90.00
Closest atoms and distances in Å follow each position.
Fractional coordinates of all 8 atoms:
K (0.0000, 0.0000, 0.0000)  6 Se 3.36
K (0.5000, 0.5000, 0.0000)  6 Se 3.22-3.23
Tb (0.0000, 0.5000, 0.5000)  6 Se 2.86-2.88
Ti (0.5000, 0.0000, 0.5000)  6 Se 2.70-2.71
Se (0.2528, 0.0000, 0.7027)  1 Ti 2.70, 2 Tb 2.86
Se (0.2871, 0.5000, 0.3068)  2 Ti 2.71, 1 Tb 2.88
Se (0.7129, 0.5000, 0.6932)  2 Ti 2.71, 1 Tb 2.88
Se (0.7472, 0.0000, 0.2973)  1 Ti 2.70, 2 Tb 2.86

Calculated values
magnetic moment	1.00	Bohr magnetons per cell
formation energy from raw total energies	-1434	meV/atom
theoretical density	4.59	g/cm3
symmetry	P2/m (10)



No. 7
A plane-wave DFT calculation with PBE was carried out for an optimized crystal structure of KPrSn2Br8.

a b c (Å): 6.9142 9.1696 7.2817
angles (deg): 90.00 91.07 90.00
Closest atoms and distances in Å follow each position.
Fractional coordinates of all 12 atoms:
K (0.0000, 0.0000, 0.0000)  6 Br 3.23-3.30
Pr (0.0000, 0.5000, 0.0000)  6 Br 2.93-2.96
Sn (0.5000, 0.2448, 0.5000)  6 Br 2.91-3.20
Sn (0.5000, 0.7552, 0.5000)  6 Br 2.91-3.20
Br (0.2456, 0.5000, 0.6715)  1 Pr 2.96, 2 Sn 3.20
Br (0.2479, 0.2717, 0.1591)  1 Pr 2.93, 1 Sn 3.02, 1 K 3.23
Br (0.2479, 0.7283, 0.1591)  1 Pr 2.93, 1 Sn 3.02, 1 K 3.23
Br (0.2741, 0.0000, 0.6340)  2 Sn 2.91
Br (0.7259, 0.0000, 0.3660)  2 Sn 2.91
Br (0.7521, 0.2717, 0.8409)  1 Pr 2.93, 1 Sn 3.02, 1 K 3.23
Br (0.7521, 0.7283, 0.8409)  1 Pr 2.93, 1 Sn 3.02, 1 K 3.23
Br (0.7544, 0.5000, 0.3285)  1 Pr 2.96, 2 Sn 3.20

Calculated values
magnetic moment	0.00	Bohr magnetons per cell
formation energy from raw total energies	-1283	meV/atom
theoretical density	3.80	g/cm3
symmetry	P2/m (10)



No. 8
A plane-wave DFT calculation with PBE was carried out for an optimized crystal structure of MgTa2Te.

a b c (Å): 4.7800 4.7800 4.7800
angles (deg): 60.00 60.00 60.00
Closest atoms and distances in Å follow each position.
Fractional coordinates of all 4 atoms:
Mg (0.0000, 0.0000, 0.0000)  8 Ta 2.93
Ta (0.2500, 0.2500, 0.2500)  4 Mg 2.93, 4 Te 2.93
Ta (0.7500, 0.7500, 0.7500)  4 Te 2.93, 4 Mg 2.93
Te (0.5000, 0.5000, 0.5000)  8 Ta 2.93

Calculated values
magnetic moment	0.00	Bohr magnetons per cell
formation energy from raw total energies	607	meV/atom
polymorph energy (0 for the lowest one)	493	meV/atom
theoretical density	11.05	g/cm3
symmetry	Fm-3m (225)



No. 9
A plane-wave DFT calculation with PBE was carried out for an optimized crystal structure of Pm6RuC2.

a b c (Å): 6.5809 6.5809 8.4449
angles (deg): 113.06 113.06 46.03
Closest atoms and distances in Å follow each position.
Fractional coordinates of all 9 atoms:
Pm (0.0128, 0.0128, 0.1931)  2 C 2.59-2.65, 1 Ru 2.66
Pm (0.2992, 0.2992, 0.9004)  3 C 2.54-2.58
Pm (0.3458, 0.3458, 0.4080)  1 C 2.48
Pm (0.6542, 0.6542, 0.5920)  1 C 2.48
Pm (0.7008, 0.7008, 0.0996)  3 C 2.54-2.58
Pm (0.9872, 0.9872, 0.8069)  2 C 2.59-2.65, 1 Ru 2.66
Ru (0.0000, 0.0000, 0.5000)  2 Pm 2.66
C (0.1907, 0.1907, 0.0995)  6 Pm 2.48-2.65
C (0.8093, 0.8093, 0.9005)  6 Pm 2.48-2.65

Calculated values
magnetic moment	0.00	Bohr magnetons per cell
theoretical density	6.94	g/cm3
symmetry	C2/m (12)
ΔE_f	-0.045	eV/atom



No. 10
A plane-wave DFT calculation with PBE was carried out for an optimized crystal structure of Y2BiN.

a b c (Å): 4.5732 9.0878 4.5805
angles (deg): 90.00 90.00 90.00
Closest atoms and distances in Å follow each position.
Fractional coordinates of all 8 atoms:
Y (0.0000, 0.0005, 0.0000)  4 N 2.39
Y (0.0000, 0.3190, 0.5007)  1 N 2.22
Y (0.5000, 0.6810, 0.0007)  1 N 2.22
Y (0.5000, 0.9995, 0.5000)  4 N 2.39
Bi (0.0000, 0.6859, 0.5011)  5 Y 3.24-3.33, 1 N 3.54
Bi (0.5000, 0.3141, 0.0011)  5 Y 3.24-3.33, 1 N 3.54
N (0.0000, 0.0750, 0.4999)  5 Y 2.22-2.39
N (0.5000, 0.9250, 0.9999)  5 Y 2.22-2.39

Calculated values
magnetic moment	0.00	Bohr magnetons per cell
formation energy from raw total energies	-1268	meV/atom
polymorph energy (0 for the lowest one)	0	meV/atom
theoretical density	6.99	g/cm3
symmetry	Pmn2_1 (31)